Density functional theory data (PBE) for an optimized crystal structure of KCa2Au2.

```
KCa2Au2
1.0
5.5031 0.0000 0.0000
0.0000 5.5031 0.0000
2.7515 2.7515 6.0086
Ca Au K
2 2 1
Direct
0.3373 0.3373 0.3254 Ca
0.6627 0.6627 0.6746 Ca
0.7500 0.2500 0.5000 Au
0.2500 0.7500 0.5000 Au
0.0000 0.0000 0.0000 K
```

Computed properties:
M_tot	0.0	μB/cell
electronic total energy	-13.5	eV/f.u.
density	4683	kg/m3
formation energy from the elements	-367.5	meV per atom
V	182.0	Å³/f.u.